LiCoRu2 | PBEsol | relaxed Values from VASP.

Geometry as Quantum ESPRESSO input:
```
&SYSTEM
  ibrav = 0, nat = 4, ntyp = 3
/
ATOMIC_SPECIES
Co 58.93 Co.upf
Li 6.94 Li.upf
Ru 101.07 Ru.upf
ATOMIC_POSITIONS crystal
Co 0.500 0.500 0.000
Li 0.250 0.750 0.500
Ru 0.000 0.000 0.000
Ru 0.750 0.250 0.500
CELL_PARAMETERS angstrom
3.634 0.000 0.000
0.000 3.634 0.000
-1.817 -1.817 3.609
```

Values from the calculation:
ΔH_f (0 K)   28 kJ per mole of atoms
E_tot   -7.219 eV/atom